1.
First-principles (PBE) data for a geometry-optimized Pr6Ni2Au structure, as listed in the Alexandria database.

Cell: 8.6671 8.6671 8.6671 Å, 113.37 108.28 106.84°
Fractional coordinates of all 18 atoms:
1 Pr 0.0339 0.2286 0.8053
2 Pr 0.1777 0.2907 0.4683
3 Pr 0.1777 0.7093 0.8870
4 Pr 0.3279 0.0231 0.6951
5 Pr 0.3279 0.6328 0.3049
6 Pr 0.4233 0.2286 0.1947
7 Pr 0.5767 0.7714 0.8053
8 Pr 0.6721 0.3672 0.6951
9 Pr 0.6721 0.9769 0.3049
10 Pr 0.8223 0.2907 0.1130
11 Pr 0.8223 0.7093 0.5317
12 Pr 0.9661 0.7714 0.1947
13 Ni 0.1223 0.6223 0.5000
14 Ni 0.3595 0.0000 0.3595
15 Ni 0.6405 0.0000 0.6405
16 Ni 0.8777 0.3777 0.5000
17 Au 0.0000 0.0000 0.0000
18 Au 0.5000 0.5000 0.0000

Formation energy: -0.300 eV/atom
Crystal system: orthorhombic
Total magnetic moment: 0.00 μB/atom
N(E_F): 8.44 states/eV/f.u.

2.
First-principles (PBE) data for a geometry-optimized Pr2Ni3Sb4Au structure, as listed in the Alexandria database.

Cell: 4.5676 4.5676 10.2578 Å, 90.00 90.00 90.00°
Fractional coordinates of all 10 atoms:
1 Pr 0.0000 0.5000 0.2484
2 Pr 0.5000 0.0000 0.7516
3 Ni 0.0000 0.0000 0.0000
4 Ni 0.0000 0.5000 0.6162
5 Ni 0.5000 0.0000 0.3838
6 Sb 0.0000 0.0000 0.5000
7 Sb 0.0000 0.5000 0.8593
8 Sb 0.5000 0.0000 0.1407
9 Sb 0.5000 0.5000 0.5000
10 Au 0.5000 0.5000 0.0000

Uncorrected formation energy: -0.598 eV per atom
Crystal system: tetragonal
Total magnetic moment: 0.00 μB/atom
N(E_F): 3.64 states/eV/f.u.

3.
First-principles (PBE) data for a geometry-optimized PrScNiAu structure, as listed in the Alexandria database.

Cell: 4.9462 4.9462 4.9462 Å, 60.00 60.00 60.00°
Fractional coordinates of all 4 atoms:
1 Pr 0.0000 0.0000 0.0000
2 Sc 0.5000 0.5000 0.5000
3 Ni 0.2500 0.2500 0.2500
4 Au 0.7500 0.7500 0.7500

Formation energy: -0.451 eV/atom
Crystal system: cubic
Total magnetic moment: 0.00 μB/atom
N(E_F): 2.94 states/eV/f.u.

4.
First-principles (PBE) data for a geometry-optimized PrNiSnAu structure, as listed in the Alexandria database.

Cell: 4.9241 4.9241 4.9241 Å, 60.00 60.00 60.00°
Fractional coordinates of all 4 atoms:
1 Pr 0.0000 0.0000 0.0000
2 Ni 0.7500 0.7500 0.7500
3 Sn 0.5000 0.5000 0.5000
4 Au 0.2500 0.2500 0.2500

Formation energy: -0.437 eV/atom
Crystal system: cubic
Total magnetic moment: 0.00 μB/atom
N(E_F): 3.00 states/eV/f.u.

5.
First-principles (PBE) data for a geometry-optimized SrPrNiAu structure, as listed in the Alexandria database.

Cell: 5.2109 5.2109 5.2109 Å, 60.00 60.00 60.00°
Fractional coordinates of all 4 atoms:
1 Sr 0.0000 0.0000 0.0000
2 Pr 0.5000 0.5000 0.5000
3 Ni 0.7500 0.7500 0.7500
4 Au 0.2500 0.2500 0.2500

Formation energy: -0.336 eV/atom
Crystal system: cubic
Total magnetic moment: 0.00 μB/atom
N(E_F): 4.26 states/eV/f.u.

6.
First-principles (PBE) data for a geometry-optimized PrTlNiAu structure, as listed in the Alexandria database.

Cell: 4.9725 4.9725 4.9725 Å, 60.00 60.00 60.00°
Fractional coordinates of all 4 atoms:
1 Pr 0.0000 0.0000 0.0000
2 Tl 0.5000 0.5000 0.5000
3 Ni 0.2500 0.2500 0.2500
4 Au 0.7500 0.7500 0.7500

Formation energy: -0.254 eV/atom
Crystal system: cubic
Total magnetic moment: 0.00 μB/atom
N(E_F): 2.85 states/eV/f.u.

7.
First-principles (PBE) data for a geometry-optimized PrTmNiAu structure, as listed in the Alexandria database.

Cell: 5.0346 5.0346 5.0346 Å, 60.00 60.00 60.00°
Fractional coordinates of all 4 atoms:
1 Pr 0.0000 0.0000 0.0000
2 Tm 0.5000 0.5000 0.5000
3 Ni 0.2500 0.2500 0.2500
4 Au 0.7500 0.7500 0.7500

Formation energy: -0.517 eV/atom
Crystal system: cubic
Total magnetic moment: 0.00 μB/atom
N(E_F): 2.71 states/eV/f.u.

8.
First-principles (PBE) data for a geometry-optimized NiPt2Au structure, as listed in the Alexandria database.

Cell: 9.2253 9.2253 9.2253 Å, 17.37 17.37 17.37°
Fractional coordinates of all 4 atoms:
1 Ni 0.0000 0.0000 0.0000
2 Pt 0.2578 0.2578 0.2578
3 Pt 0.7422 0.7422 0.7422
4 Au 0.5000 0.5000 0.5000

Formation energy: -0.043 eV/atom
Crystal system: trigonal
Total magnetic moment: 0.31 μB/atom
N(E_F): 3.63 states/eV/f.u.

9.
First-principles (PBE) data for a geometry-optimized NiPt2Au structure, as listed in the Alexandria database.

Cell: 4.7892 4.7892 4.7892 Å, 131.10 131.10 71.65°
Fractional coordinates of all 4 atoms:
1 Ni 0.0000 0.0000 0.0000
2 Pt 0.2500 0.7500 0.5000
3 Pt 0.5000 0.5000 0.0000
4 Au 0.7500 0.2500 0.5000

Formation energy: 0.053 eV/atom
Crystal system: tetragonal
Total magnetic moment: 0.31 μB/atom
N(E_F): 5.66 states/eV/f.u.

10.
First-principles (PBE) data for a geometry-optimized Ni2PtAu structure, as listed in the Alexandria database.

Cell: 2.7577 2.7577 7.3453 Å, 90.00 90.00 90.00°
Fractional coordinates of all 4 atoms:
1 Ni 0.0000 0.0000 0.2395
2 Ni 0.0000 0.0000 0.7605
3 Pt 0.5000 0.5000 0.0000
4 Au 0.5000 0.5000 0.5000

Formation energy: 0.002 eV/atom
Crystal system: tetragonal
Total magnetic moment: 0.35 μB/atom
N(E_F): 5.30 states/eV/f.u.

11.
First-principles (PBE) data for a geometry-optimized Ni2PtAu structure, as listed in the Alexandria database.

Cell: 5.2209 5.2209 5.2209 Å, 149.04 129.53 60.39°
Fractional coordinates of all 4 atoms:
1 Ni 0.0000 0.0000 0.0000
2 Ni 0.7777 0.2777 0.5000
3 Pt 0.2458 0.7458 0.5000
4 Au 0.5219 0.5219 0.0000

Formation energy: 0.065 eV/atom
Crystal system: orthorhombic
Total magnetic moment: 0.38 μB/atom
N(E_F): 5.01 states/eV/f.u.

12.
First-principles (PBE) data for a geometry-optimized NiPtAu structure, as listed in the Alexandria database.

Cell: 4.1535 4.1535 4.1535 Å, 60.00 60.00 60.00°
Fractional coordinates of all 3 atoms:
1 Ni 0.0000 0.0000 0.0000
2 Pt 0.2500 0.2500 0.2500
3 Au 0.7500 0.7500 0.7500

Formation energy: 0.266 eV/atom
Crystal system: cubic
Total magnetic moment: 0.34 μB/atom
N(E_F): 5.09 states/eV/f.u.

> What is the N(E_F) in the second record?

3.64 states/eV/f.u.